[1]
The following is a DFT calculation (PBE) of a geometry-optimized NaCaTcO4 structure.

a b c (Å): 6.3066 6.7960 9.1653
angles (deg): 90.00 90.00 90.00
Closest atoms and distances in Å follow each position.
Space group Imma (No. 74)
Asymmetric unit:
Na 0.2500 0.2500 0.2500 [4 per cell]  6 O 2.35-2.46
Ca 0.0000 0.0000 0.0000 [4 per cell]  6 O 2.35-2.38
Tc 0.0000 0.2500 0.6268 [4 per cell]  4 O 1.84-1.89
O 0.0000 0.0267 0.7408 [8 per cell]  1 Tc 1.84
O 0.2422 0.2500 0.5062 [8 per cell]  1 Tc 1.89

---

[2]
The following is a DFT calculation (PBE) of a geometry-optimized NaCa2TcO5 structure.

a b c (Å): 3.8054 5.8492 11.1311
angles (deg): 90.00 90.00 90.00
Closest atoms and distances in Å follow each position.
Space group Immm (No. 71)
Asymmetric unit:
Na 0.0000 0.0000 0.0000 [2 per cell]  10 O 2.89-2.92
Ca 0.0000 0.5000 0.2204 [4 per cell]  7 O 2.27-2.52
Tc 0.0000 0.0000 0.5000 [2 per cell]  6 O 1.90-2.00
O 0.0000 0.2290 0.3667 [8 per cell]  1 Tc 2.00
O 0.0000 0.5000 0.0000 [2 per cell]  2 Tc 1.90

---

no.,E_form (uncorrected) (meV/atom),volume (A^3/atom)
1,-1879,14.03
2,-2127,13.76